Entry from the Alexandria database: an optimized crystal structure of BaTlGaF6 (GGA-PBE).

Results
Spin magnetization (μB per atom): 0.000
E (eV per atom): -4.91
Energy relative to the elements, uncorrected (eV/atom): -2.85

Cell and atoms, written as CIF:
```
data_BaTlGaF6
_chemical_formula_sum 'Ba2 Tl2 Ga2 F12'
_cell_length_a 6.2482
_cell_length_b 10.8540
_cell_length_c 5.4584
_cell_angle_alpha 90.00
_cell_angle_beta 90.05
_cell_angle_gamma 90.00
_space_group_name_H-M_alt 'C 1 2 1'
_space_group_IT_number 5
loop_
_space_group_symop_operation_xyz
'x,y,z'
'-x,y,-z'
'x+1/2,y+1/2,z'
'-x+1/2,y+1/2,-z'
loop_
_atom_site_label
_atom_site_type_symbol
_atom_site_fract_x
_atom_site_fract_y
_atom_site_fract_z
Ba1 Ba 0.0000 0.0000 0.0000
Tl1 Tl 0.0000 0.6670 0.5000
Ga1 Ga 0.0000 0.3329 0.0000
F1 F 0.1272 0.2047 0.7989
F2 F 0.1280 0.4608 0.8001
F3 F 0.2428 0.8333 0.7996
```